1.
Cs2RbPmI6: optimized geometry, GGA-PBE.

Cell: 8.824 13.183 10.187 Å, 90.00 90.00 90.00°
Fractional coordinates of all 20 atoms:
Cs  0.250  0.047  0.176
Cs  0.250  0.453  0.176
Cs  0.750  0.547  0.824
Cs  0.750  0.953  0.824
Rb  0.250  0.250  0.693
Rb  0.750  0.750  0.307
Pm  0.250  0.750  0.799
Pm  0.750  0.250  0.201
I  0.009  0.250  0.404
I  0.010  0.750  0.024
I  0.250  0.514  0.798
I  0.250  0.986  0.798
I  0.490  0.750  0.024
I  0.491  0.250  0.404
I  0.509  0.750  0.596
I  0.510  0.250  0.976
I  0.750  0.014  0.202
I  0.750  0.486  0.202
I  0.990  0.250  0.976
I  0.991  0.750  0.596

As for the symmetry: No. 59. The total energy is -0.1163 hartree per atom. Its density of states at the Fermi level is 0.00 states/eV/atom.

2.
CsPmSeI: optimized geometry, GGA-PBE.

Cell: 4.382 4.382 27.208 Å, 90.00 90.00 120.00°
Fractional coordinates of all 12 atoms:
Cs  0.000  0.000  0.000
Cs  0.333  0.667  0.667
Cs  0.667  0.333  0.333
Pm  0.000  0.000  0.809
Pm  0.333  0.667  0.475
Pm  0.667  0.333  0.142
Se  0.000  0.000  0.420
Se  0.333  0.667  0.087
Se  0.667  0.333  0.753
I  0.000  0.000  0.219
I  0.333  0.667  0.886
I  0.667  0.333  0.553

As for the symmetry: No. 160. The total energy is -0.1487 hartree per atom. Its density of states at the Fermi level is 0.62 states/eV/atom.

3.
CsPmSn2I8: optimized geometry, GGA-PBE.

Cell: 7.495 7.933 10.353 Å, 83.46 83.94 86.52°
Fractional coordinates of all 12 atoms:
Cs  0.000  0.000  0.000
Pm  0.000  0.000  0.500
Sn  0.473  0.485  0.246
Sn  0.527  0.515  0.754
I  0.229  0.326  0.479
I  0.249  0.836  0.706
I  0.262  0.392  0.043
I  0.265  0.850  0.285
I  0.735  0.150  0.715
I  0.738  0.608  0.957
I  0.751  0.164  0.294
I  0.771  0.674  0.521

As for the symmetry: No. 2. The total energy is -0.1138 hartree per atom. Its density of states at the Fermi level is 0.00 states/eV/atom.

4.
CsPmSnI6: optimized geometry, GGA-PBE.

Cell: 8.211 8.211 8.508 Å, 90.00 90.00 120.00°
Fractional coordinates of all 9 atoms:
Cs  0.000  0.000  0.000
Pm  0.667  0.333  0.500
Sn  0.333  0.667  0.500
I  0.379  0.008  0.714
I  0.379  0.371  0.286
I  0.629  0.008  0.286
I  0.629  0.621  0.714
I  0.992  0.371  0.714
I  0.992  0.621  0.286

As for the symmetry: No. 149. The total energy is -0.1199 hartree per atom. Its density of states at the Fermi level is 0.00 states/eV/atom.

5.
CsSrPmI6: optimized geometry, GGA-PBE.

Cell: 8.373 8.373 16.720 Å, 90.00 90.00 120.00°
Fractional coordinates of all 18 atoms:
Cs  0.000  0.000  0.000
Cs  0.000  0.000  0.500
Sr  0.333  0.667  0.250
Sr  0.667  0.333  0.750
Pm  0.333  0.667  0.750
Pm  0.667  0.333  0.250
I  0.016  0.384  0.640
I  0.016  0.632  0.860
I  0.368  0.384  0.860
I  0.368  0.984  0.640
I  0.384  0.016  0.140
I  0.384  0.368  0.360
I  0.616  0.632  0.640
I  0.616  0.984  0.860
I  0.632  0.016  0.360
I  0.632  0.616  0.140
I  0.984  0.368  0.140
I  0.984  0.616  0.360

As for the symmetry: No. 163. The total energy is -0.1250 hartree per atom. Its density of states at the Fermi level is 0.00 states/eV/atom.

6.
Cs2SrPmI6: optimized geometry, GGA-PBE.

Cell: 8.952 12.720 9.031 Å, 90.00 90.00 90.00°
Fractional coordinates of all 20 atoms:
Cs  0.250  0.011  0.239
Cs  0.250  0.489  0.239
Cs  0.750  0.511  0.761
Cs  0.750  0.989  0.761
Sr  0.250  0.250  0.745
Sr  0.750  0.750  0.255
Pm  0.250  0.750  0.754
Pm  0.750  0.250  0.246
I  0.001  0.750  0.511
I  0.004  0.750  0.000
I  0.250  0.504  0.754
I  0.250  0.996  0.754
I  0.496  0.750  0.000
I  0.499  0.750  0.511
I  0.501  0.250  0.489
I  0.504  0.250  0.000
I  0.750  0.004  0.246
I  0.750  0.496  0.246
I  0.996  0.250  0.000
I  0.999  0.250  0.489

As for the symmetry: No. 59. The total energy is -0.1171 hartree per atom. Its density of states at the Fermi level is 0.47 states/eV/atom.

7.
Cs2PmTlI6: optimized geometry, GGA-PBE.

Cell: 8.872 12.958 9.596 Å, 90.00 90.00 90.00°
Fractional coordinates of all 20 atoms:
Cs  0.250  0.036  0.198
Cs  0.250  0.464  0.198
Cs  0.750  0.536  0.802
Cs  0.750  0.964  0.802
Pm  0.250  0.750  0.780
Pm  0.750  0.250  0.220
Tl  0.250  0.250  0.715
Tl  0.750  0.750  0.285
I  0.007  0.250  0.436
I  0.008  0.750  0.016
I  0.250  0.511  0.786
I  0.250  0.989  0.786
I  0.492  0.750  0.016
I  0.493  0.250  0.436
I  0.507  0.750  0.564
I  0.508  0.250  0.984
I  0.750  0.011  0.214
I  0.750  0.489  0.214
I  0.992  0.250  0.984
I  0.993  0.750  0.564

As for the symmetry: No. 59. The total energy is -0.1153 hartree per atom. Its density of states at the Fermi level is 0.00 states/eV/atom.

8.
CsPmTl2I6: optimized geometry, GGA-PBE.

Cell: 8.812 8.819 9.350 Å, 90.01 118.11 119.97°
Fractional coordinates of all 10 atoms:
Cs  0.000  0.000  0.000
Pm  0.967  0.484  0.451
Tl  0.581  0.290  0.871
Tl  0.613  0.807  0.418
I  0.094  0.439  0.198
I  0.097  0.253  0.667
I  0.414  0.845  0.667
I  0.544  0.105  0.198
I  0.759  0.654  0.198
I  0.822  0.570  0.667

As for the symmetry: No. 1. The total energy is -0.1142 hartree per atom. Its density of states at the Fermi level is 0.00 states/eV/atom.

9.
Cs2Pr2I7: optimized geometry, GGA-PBE.

Cell: 10.038 10.038 8.917 Å, 96.11 96.11 122.13°
Fractional coordinates of all 11 atoms:
Cs  0.189  0.811  0.000
Cs  0.811  0.189  0.000
Pr  0.206  0.206  0.603
Pr  0.794  0.794  0.397
I  0.071  0.071  0.251
I  0.114  0.430  0.750
I  0.430  0.114  0.750
I  0.500  0.500  0.500
I  0.570  0.886  0.250
I  0.886  0.570  0.250
I  0.929  0.929  0.749

As for the symmetry: No. 12. The total energy is -0.1237 hartree per atom. The calculation puts the energy above the lowest structure with this stoichiometry at 0.000 eV per atom. Its density of states at the Fermi level is 0.02 states/eV/atom.

10.
Cs4PrI5: optimized geometry, GGA-PBE.

Cell: 9.250 9.250 9.250 Å, 100.20 100.20 130.22°
Fractional coordinates of all 10 atoms:
Cs  0.089  0.293  0.382
Cs  0.293  0.911  0.204
Cs  0.707  0.089  0.796
Cs  0.911  0.707  0.618
Pr  0.471  0.471  0.000
I  0.227  0.582  0.819
I  0.408  0.227  0.645
I  0.582  0.763  0.355
I  0.763  0.408  0.181
I  0.894  0.894  0.000

As for the symmetry: No. 79. The total energy is -0.1045 hartree per atom. Its density of states at the Fermi level is 0.68 states/eV/atom.

11.
Cs5Pr2I12: optimized geometry, GGA-PBE.

Cell: 11.625 11.625 12.593 Å, 107.07 107.07 46.34°
Fractional coordinates of all 19 atoms:
Cs  0.000  0.000  0.000
Cs  0.293  0.293  0.143
Cs  0.309  0.309  0.660
Cs  0.691  0.691  0.340
Cs  0.707  0.707  0.857
Pr  0.250  0.750  0.500
Pr  0.750  0.250  0.500
I  0.004  0.004  0.677
I  0.102  0.592  0.426
I  0.134  0.577  0.933
I  0.408  0.898  0.574
I  0.423  0.866  0.067
I  0.495  0.495  0.319
I  0.505  0.505  0.681
I  0.577  0.134  0.933
I  0.592  0.102  0.426
I  0.866  0.423  0.067
I  0.898  0.408  0.574
I  0.996  0.996  0.323

As for the symmetry: No. 12. The total energy is -0.1132 hartree per atom. The calculation puts the energy above the lowest structure with this stoichiometry at 0.000 eV per atom. Its density of states at the Fermi level is 0.25 states/eV/atom.

12.
Cs2Pr2I7: optimized geometry, GGA-PBE.

Cell: 7.980 7.980 8.762 Å, 90.00 90.00 99.22°
Fractional coordinates of all 11 atoms:
Cs  0.222  0.222  0.000
Cs  0.778  0.778  0.000
Pr  0.282  0.718  0.500
Pr  0.718  0.282  0.500
I  0.000  0.000  0.500
I  0.000  0.500  0.271
I  0.000  0.500  0.729
I  0.500  0.000  0.271
I  0.500  0.000  0.729
I  0.500  0.500  0.283
I  0.500  0.500  0.717

As for the symmetry: No. 65. The total energy is -0.1236 hartree per atom. The calculation puts the energy above the lowest structure with this stoichiometry at 0.003 eV per atom. Its density of states at the Fermi level is 0.36 states/eV/atom.

The calculation returns the following uncorrected formation energy values, one per record and in order: -1492 -1386 -930 -1161 -1559 -1441 -1324 -1145 -1357 -1248 -1374 -1353 meV/atom.